# Pm4In3Te8 PBE relaxed
# ρ: 6097 kg/m³
# Magnetic moment: 0.00 μB per cell
# ΔE_f (raw): -989 meV per atom
# Calculated total energy: -134.38 eV per cell
data_Pm4In3Te8
_chemical_formula_sum 'Pm8 In6 Te16'
_space_group_name_H-M_alt 'C 1 2/m 1'
_space_group_IT_number 12
_space_group_name_Hall '-C 2y'
_cell_length_a 12.866
_cell_length_b 12.761
_cell_length_c 8.971
_cell_angle_alpha 90.00
_cell_angle_beta 134.00
_cell_angle_gamma 90.00
loop_
_atom_site_label
_atom_site_type_symbol
_atom_site_fract_x
_atom_site_fract_y
_atom_site_fract_z
_atom_site_occupancy
Pm1 Pm 0.000 0.000 0.000 1
Pm2 Pm 0.000 0.000 0.500 1
Pm3 Pm 0.250 0.250 0.000 1
In1 In 0.000 0.500 0.500 1
In2 In 0.250 0.250 0.500 1
Te1 Te 0.000 0.246 0.500 1
Te2 Te 0.000 0.250 0.000 1
Te3 Te 0.238 0.000 0.489 1
Te4 Te 0.245 0.000 0.993 1